No. 1
Hf2InPt | PBE | relaxed

Lattice parameters (Å, degrees): 6.8204 6.8204 6.8204 90.00 90.00 90.00
Last column: nearest neighbours and their distance in Å.
Space group F-43m (No. 216)
Unique sites:
Hf 0.0000 0.0000 0.0000 x4  4 Hf 2.95, 4 Pt 2.95
Hf 0.2500 0.2500 0.2500 x4  4 Hf 2.95, 4 In 2.95
In 0.0000 0.0000 0.5000 x4  4 Hf 2.95, 4 Pt 2.95
Pt 0.2500 0.2500 0.7500 x4  4 Hf 2.95, 4 In 2.95

Calculated values
Crystal system ... cubic
Total magnetization ... 2.961 μB/f.u.

=====

No. 2
LaNdPa2Se3O4 | PBE | relaxed

Lattice parameters (Å, degrees): 8.8243 3.8790 12.5387 90.00 90.00 90.00
Last column: nearest neighbours and their distance in Å.
Space group Amm2 (No. 38)
Unique sites:
La 0.0000 0.0000 0.0000 x2  2 O 2.31
Nd 0.5000 0.0000 0.9789 x2  4 O 2.41-2.55
Pa 0.2426 0.0000 0.2934 x4  4 O 2.28-2.53
Se 0.0000 0.0000 0.7100 x2  2 Se 3.03, 4 Pa 3.07, 4 O 3.08-3.20, 2 La 3.27
Se 0.3060 0.0000 0.6008 x4  2 Nd 3.00, 1 Se 3.03, 2 Pa 3.15, 2 O 3.32
O 0.0000 0.0000 0.4003 x2  2 La 2.31, 2 Pa 2.53
O 0.2586 0.0000 0.8884 x4  2 Pa 2.28, 1 Nd 2.41
O 0.5000 0.0000 0.3474 x2  2 Pa 2.37, 2 Nd 2.55

Calculated values
Crystal system ... orthorhombic
Total magnetization ... 2.000 μB/f.u.

=====

No. 3
PuMgTlHg | PBE | relaxed

Lattice parameters (Å, degrees): 7.3738 7.3738 7.3738 90.00 90.00 90.00
Last column: nearest neighbours and their distance in Å.
Space group F-43m (No. 216)
Unique sites:
Pu 0.0000 0.0000 0.0000 x4  4 Hg 3.19, 4 Tl 3.19
Mg 0.0000 0.0000 0.5000 x4  4 Tl 3.19, 4 Hg 3.19
Tl 0.2500 0.2500 0.7500 x4  4 Mg 3.19, 4 Pu 3.19
Hg 0.2500 0.2500 0.2500 x4  4 Mg 3.19, 4 Pu 3.19

Calculated values
Crystal system ... cubic
Total magnetization ... 5.588 μB/f.u.

=====

No. 4
CsThMo | PBE | relaxed

Lattice parameters (Å, degrees): 7.2031 7.2031 7.2031 90.00 90.00 90.00
Last column: nearest neighbours and their distance in Å.
Space group F-43m (No. 216)
Unique sites:
Cs 0.0000 0.0000 0.0000 x4  4 Th 3.12, 4 Mo 3.12
Th 0.2500 0.2500 0.2500 x4  4 Cs 3.12
Mo 0.2500 0.2500 0.7500 x4  4 Cs 3.12

Calculated values
E above lowest polymorph ... 643 meV per atom
Crystal system ... cubic
Total magnetization ... 2.742 μB/f.u.

=====

No. 5
PaTcPt | PBE | relaxed

Lattice parameters (Å, degrees): 6.4164 6.4164 6.4164 90.00 90.00 90.00
Last column: nearest neighbours and their distance in Å.
Space group F-43m (No. 216)
Unique sites:
Pa 0.0000 0.0000 0.0000 x4  4 Pt 2.78
Tc 0.0000 0.0000 0.5000 x4  4 Pt 2.78
Pt 0.2500 0.2500 0.2500 x4  4 Pa 2.78, 4 Tc 2.78

Calculated values
Formation enthalpy at 0 K ... 0.04 eV per atom
Crystal system ... cubic
Total magnetization ... 0.439 μB/f.u.

=====

No. 6
NdMg | PBE | relaxed

Lattice parameters (Å, degrees): 5.2626 21.1355 5.2636 90.00 90.00 90.00
Last column: nearest neighbours and their distance in Å.
Space group Amm2 (No. 38)
Unique sites:
Nd 0.0000 0.0000 0.0000 x2  8 Mg 3.23-3.24
Nd 0.0000 0.1936 0.0023 x4  4 Mg 3.43-3.45, 8 Nd 3.55-3.73
Nd 0.5000 0.1852 0.5035 x4  4 Mg 3.33, 4 Nd 3.67-3.72
Mg 0.0000 0.0889 0.5006 x4  6 Nd 3.23-3.45, 2 Mg 3.23
Mg 0.5000 0.0000 0.5020 x2  8 Mg 3.23
Mg 0.5000 0.0886 0.0030 x4  2 Mg 3.23, 6 Nd 3.23-3.44

Calculated values
E above lowest polymorph ... 53 meV per atom
Crystal system ... orthorhombic
Total magnetization ... 0.001 μB/f.u.

=====

No. 7
LiZnSb | PBE | relaxed

Lattice parameters (Å, degrees): 6.7253 3.8721 8.9048 90.00 90.00 90.00
Last column: nearest neighbours and their distance in Å.
Space group Pnma (No. 62)
Unique sites:
Li 0.2464 0.2500 0.1630 x4  4 Zn 2.74-2.81, 5 Sb 2.88-2.93
Zn 0.1239 0.2500 0.4564 x4  2 Zn 2.67, 4 Li 2.74-2.81, 2 Sb 2.92
Sb 0.0724 0.2500 0.8679 x4  5 Li 2.88-2.93, 2 Zn 2.92, 2 Sb 3.20

Calculated values
Crystal system ... orthorhombic

=====

No. 8
LiTaO3 | PBE | relaxed

Lattice parameters (Å, degrees): 5.1049 7.8283 4.7476 90.00 90.00 90.00
Last column: nearest neighbours and their distance in Å.
Space group Pnma (No. 62)
Unique sites:
Li 0.0000 0.0000 0.0000 x4  4 O 1.88-1.97
Ta 0.0760 0.2500 0.4503 x4  6 O 1.93-2.12
O 0.0845 0.7500 0.1820 x4  2 Ta 1.93-2.05
O 0.1869 0.5907 0.6928 x8  2 Li 1.88-1.97, 1 Ta 1.95

Calculated values
Crystal system ... orthorhombic
Total magnetization ... 0.000 μB/f.u.

=====

No. 9
Pr2Nd3DyCoTe2 | PBE | relaxed

Lattice parameters (Å, degrees): 3.9750 14.9088 8.6685 90.00 90.00 90.00
Last column: nearest neighbours and their distance in Å.
Space group Amm2 (No. 38)
Unique sites:
Pr 0.0000 0.1184 0.0000 x4  2 Co 2.89
Nd 0.5000 0.0000 0.7058 x2  4 Te 3.26, 2 Dy 3.64
Nd 0.5000 0.2045 0.3213 x4  4 Te 3.28-3.31, 1 Co 3.47, 2 Dy 3.65, 4 Pr 3.65
Dy 0.0000 0.0000 0.3534 x2  2 Co 2.77
Co 0.5000 0.0000 0.1301 x2  2 Dy 2.77, 4 Pr 2.89
Te 0.0000 0.1648 0.6144 x4  6 Nd 3.26-3.31, 1 Dy 3.34, 2 Pr 3.38-3.41

Calculated values
Crystal system ... orthorhombic
Total magnetization ... 0.028 μB/f.u.

=====

No. 10
DyHo2Fe6Co2Ni | PBE | relaxed

Lattice parameters (Å, degrees): 4.9861 4.9861 24.5584 90.00 90.00 120.00
Last column: nearest neighbours and their distance in Å.
Space group R-3m (No. 166, hexagonal axes)
Unique sites:
Dy 0.0000 0.0000 0.0000 x3  6 Co 2.88, 12 Fe 3.19
Ho 0.0000 0.0000 0.1418 x6  9 Fe 2.90-3.06, 3 Ni 2.94, 3 Ho 3.13
Fe 0.0020 0.5010 0.9187 x18  2 Co 2.45-2.48, 4 Fe 2.48-2.51, 1 Ni 2.55
Co 0.0000 0.0000 0.3329 x6  6 Fe 2.45-2.48
Ni 0.0000 0.0000 0.5000 x3  6 Fe 2.55

Calculated values
Formation enthalpy at 0 K ... -0.13 eV per atom
Crystal system ... trigonal
Total magnetization ... 15.486 μB/f.u.

=====

no.,total energy (eV/atom)
1,-7.350
2,-7.754
3,-4.772
4,-4.103
5,-8.594
6,-3.215
7,-2.553
8,-8.292
9,-5.327
10,-7.075